This record from Alexandria via LeMat-Bulk describes an optimized crystal structure of Mg2TiSe2. The functional is PBE.

Results
- Relative energy among the computed polymorphs: 0.032 eV per atom

abc: 5.051 5.051 8.770
angles: 90.00 90.00 90.00
Atoms (fractional coordinates):
Mg 0.000 0.000 0.156
Mg 0.000 0.000 0.844
Mg 0.500 0.500 0.344
Mg 0.500 0.500 0.656
Ti 0.000 0.000 0.500
Ti 0.500 0.500 0.000
Se 0.000 0.500 0.250
Se 0.000 0.500 0.750
Se 0.500 0.000 0.250
Se 0.500 0.000 0.750

This record from Alexandria via LeMat-Bulk describes an optimized crystal structure of Mg3TiSe. The functional is PBE.

Results
- Relative energy among the computed polymorphs: 0.000 eV per atom

abc: 5.046 5.046 5.046
angles: 90.00 90.00 90.00
Atoms (fractional coordinates):
Mg 0.000 0.000 0.500
Mg 0.000 0.500 0.000
Mg 0.500 0.000 0.000
Ti 0.500 0.500 0.500
Se 0.000 0.000 0.000

This record from Alexandria via LeMat-Bulk describes an optimized crystal structure of Mg2Ti2Se. The functional is PBE.

abc: 6.520 6.520 4.742
angles: 90.00 90.00 90.00
Atoms (fractional coordinates):
Mg 0.153 0.347 0.000
Mg 0.347 0.847 0.000
Mg 0.653 0.153 0.000
Mg 0.847 0.653 0.000
Ti 0.152 0.652 0.500
Ti 0.348 0.152 0.500
Ti 0.652 0.848 0.500
Ti 0.848 0.348 0.500
Se 0.000 0.000 0.500
Se 0.500 0.500 0.500

This record from Alexandria via LeMat-Bulk describes an optimized crystal structure of Mg3TiSe. The functional is PBE.

Results
- Relative energy among the computed polymorphs: 0.597 eV per atom

abc: 5.414 5.414 5.414
angles: 90.00 90.00 90.00
Atoms (fractional coordinates):
Mg 0.000 0.000 0.500
Mg 0.000 0.500 0.000
Mg 0.500 0.000 0.000
Ti 0.000 0.000 0.000
Se 0.500 0.500 0.500

This record from Alexandria via LeMat-Bulk describes an optimized crystal structure of MgTi3Se. The functional is PBE.

Results
- Relative energy among the computed polymorphs: 1.103 eV per atom

abc: 4.816 4.816 4.816
angles: 90.00 90.00 90.00
Atoms (fractional coordinates):
Mg 0.000 0.000 0.000
Ti 0.000 0.000 0.500
Ti 0.000 0.500 0.000
Ti 0.500 0.000 0.000
Se 0.500 0.500 0.500

This record from Alexandria via LeMat-Bulk describes an optimized crystal structure of MgTi3Se. The functional is PBE.

Results
- Relative energy among the computed polymorphs: 0.000 eV per atom

abc: 4.721 4.721 4.721
angles: 90.00 90.00 90.00
Atoms (fractional coordinates):
Mg 0.000 0.000 0.000
Ti 0.000 0.500 0.500
Ti 0.500 0.000 0.500
Ti 0.500 0.500 0.000
Se 0.500 0.500 0.500

This record from Alexandria via LeMat-Bulk describes an optimized crystal structure of MgTiSe3. The functional is PBE.

Results
- Relative energy among the computed polymorphs: 0.000 eV per atom

abc: 4.960 4.960 4.960
angles: 90.00 90.00 90.00
Atoms (fractional coordinates):
Mg 0.000 0.000 0.000
Ti 0.500 0.500 0.500
Se 0.000 0.500 0.500
Se 0.500 0.000 0.500
Se 0.500 0.500 0.000

This record from Alexandria via LeMat-Bulk describes an optimized crystal structure of MgTlSe2. The functional is PBE.

abc: 4.091 6.713 7.919
angles: 90.00 90.00 90.00
Atoms (fractional coordinates):
Mg 0.000 0.000 0.000
Mg 0.500 0.500 0.500
Tl 0.000 0.000 0.500
Tl 0.500 0.500 0.000
Se 0.000 0.500 0.293
Se 0.000 0.500 0.707
Se 0.500 0.000 0.207
Se 0.500 0.000 0.793

This record from Alexandria via LeMat-Bulk describes an optimized crystal structure of MgTlSe2. The functional is PBE.

abc: 7.991 7.703 4.303
angles: 90.00 117.98 90.00
Atoms (fractional coordinates):
Mg 0.000 0.000 0.000
Mg 0.500 0.500 0.000
Tl 0.000 0.500 0.000
Tl 0.500 0.000 0.000
Se 0.250 0.250 0.000
Se 0.250 0.750 0.000
Se 0.750 0.250 0.000
Se 0.750 0.750 0.000

This record from Alexandria via LeMat-Bulk describes an optimized crystal structure of MgTlSe2. The functional is PBE.

abc: 4.022 4.022 21.386
angles: 90.00 90.00 120.00
Atoms (fractional coordinates):
Mg 0.000 0.000 0.000
Mg 0.333 0.667 0.667
Mg 0.667 0.333 0.333
Tl 0.000 0.000 0.832
Tl 0.333 0.667 0.499
Tl 0.667 0.333 0.166
Se 0.000 0.000 0.403
Se 0.000 0.000 0.597
Se 0.333 0.667 0.069
Se 0.333 0.667 0.264
Se 0.667 0.333 0.736
Se 0.667 0.333 0.930

This record from Alexandria via LeMat-Bulk describes an optimized crystal structure of MgTl2Se. The functional is PBE.

abc: 3.941 3.941 6.833
angles: 90.00 90.00 90.00
Atoms (fractional coordinates):
Mg 0.000 0.000 0.000
Tl 0.500 0.500 0.256
Tl 0.500 0.500 0.744
Se 0.000 0.000 0.500

This record from Alexandria via LeMat-Bulk describes an optimized crystal structure of Mg2TlSe. The functional is PBE.

Results
- Relative energy among the computed polymorphs: 0.000 eV per atom

abc: 6.515 3.760 8.110
angles: 90.00 105.91 90.00
Atoms (fractional coordinates):
Mg 0.237 0.000 0.207
Mg 0.263 0.500 0.793
Mg 0.737 0.500 0.207
Mg 0.763 0.000 0.793
Tl 0.000 0.000 0.500
Tl 0.500 0.500 0.500
Se 0.000 0.500 0.000
Se 0.500 0.000 0.000

Size of the total moment
In order: 1.98, 2.61, 0.00, 2.03, 2.31, 0.00, 0.00, 0.00, 0.00, 0.00, 0.00, 0.00
Unit: μB/f.u.
Raw formation energy
In order: -0.20, 0.36, -0.26, 0.96, 1.13, 0.03, -0.52, -0.47, -0.42, -0.65, -0.12, -0.53
Unit: eV per atom